DFT (GGA-PBE) results for a relaxed structure of Hf11In9Pt4.

Unit cell a=14.1586 b=21.0812 c=3.3581 alpha=90.00 beta=90.00 gamma=90.00
Last column: nearest neighbours and their distance in Å.
Space group Cmmm (No. 65)
Inequivalent atoms, fractional coordinates:
Hf 0.0000 0.0000 0.0000 (multiplicity 2)  8 In 3.05, 4 Hf 3.19-3.36
Hf 0.0000 0.1513 0.0000 (multiplicity 4)  8 In 3.12-3.20, 5 Hf 3.19-3.39
Hf 0.0000 0.3745 0.0000 (multiplicity 4)  4 Pt 2.77
Hf 0.1861 0.5000 0.0000 (multiplicity 4)  4 Pt 2.77
Hf 0.2366 0.1769 0.0000 (multiplicity 8)  2 Pt 2.79, 6 In 3.06-3.11, 1 Hf 3.11
In 0.0000 0.5000 0.5000 (multiplicity 2)  4 Pt 3.04, 8 Hf 3.12-3.13, 2 In 3.36
In 0.1044 0.2596 0.5000 (multiplicity 8)  1 In 2.96, 1 Pt 2.99, 8 Hf 3.06-3.30
In 0.1441 0.0726 0.5000 (multiplicity 8)  1 Pt 2.95, 8 Hf 3.05-3.31, 1 In 3.06
Pt 0.1519 0.3980 0.5000 (multiplicity 8)  6 Hf 2.77-2.79, 3 In 2.95-3.04

Output
- crystal system = orthorhombic
- E_form (meV/atom) = -456
- spin magnetization (μB per atom) = 0.000

***

DFT (GGA-PBE) results for a relaxed structure of Li2BeSn.

Unit cell a=6.2577 b=6.2577 c=6.2577 alpha=90.00 beta=90.00 gamma=90.00
Last column: nearest neighbours and their distance in Å.
Space group Fm-3m (No. 225)
Inequivalent atoms, fractional coordinates:
Li 0.2500 0.2500 0.2500 (multiplicity 8)  4 Sn 2.71, 4 Be 2.71
Be 0.0000 0.0000 0.0000 (multiplicity 4)  8 Li 2.71
Sn 0.0000 0.0000 0.5000 (multiplicity 4)  8 Li 2.71

Output
- crystal system = cubic
- energy relative to the lowest polymorph listed for this composition (eV per atom) = 0.0000
- E_form (meV/atom) = 25
- spin magnetization (μB per atom) = 0.000

***

DFT (GGA-PBE) results for a relaxed structure of La2ReRh.

Unit cell a=3.5713 b=3.5713 c=25.8217 alpha=90.00 beta=90.00 gamma=120.00
Last column: nearest neighbours and their distance in Å.
Space group R-3m (No. 166, hexagonal axes)
Inequivalent atoms, fractional coordinates:
La 0.0000 0.0000 0.2483 (multiplicity 6)  3 Rh 2.95, 3 Re 3.01
Re 0.0000 0.0000 0.0000 (multiplicity 3)  6 La 3.01
Rh 0.0000 0.0000 0.5000 (multiplicity 3)  6 La 2.95

Output
- crystal system = trigonal
- energy relative to the lowest polymorph listed for this composition (eV per atom) = 0.3597
- E_form (meV/atom) = 272
- spin magnetization (μB per atom) = 0.000

***

DFT (GGA-PBE) results for a relaxed structure of La2TlCd.

Unit cell a=12.3985 b=4.0765 c=5.3369 alpha=90.00 beta=115.37 gamma=90.00
Last column: nearest neighbours and their distance in Å.
Space group Cm (No. 8)
Inequivalent atoms, fractional coordinates:
La 0.0000 0.0000 0.0000 (multiplicity 2)  4 Tl 3.39, 2 Cd 3.53, 4 La 3.64-3.72
La 0.2304 0.0000 0.7317 (multiplicity 2)  4 Cd 3.37, 4 Tl 3.64-3.71, 4 La 3.64-3.72
Tl 0.4610 0.0000 0.4613 (multiplicity 2)  2 Cd 3.06, 4 La 3.39
Cd 0.2574 0.5000 0.2586 (multiplicity 2)  2 Tl 3.06, 4 La 3.37

Output
- crystal system = monoclinic
- energy relative to the lowest polymorph listed for this composition (eV per atom) = 0.0650
- E_form (meV/atom) = -321
- spin magnetization (μB per atom) = 0.000

***

DFT (GGA-PBE) results for a relaxed structure of BaCuHgF6.

Unit cell a=6.1276 b=9.2266 c=5.7420 alpha=90.00 beta=95.39 gamma=90.00
Last column: nearest neighbours and their distance in Å.
Space group C2 (No. 5)
Inequivalent atoms, fractional coordinates:
Ba 0.0000 0.0000 0.0000 (multiplicity 2)  6 F 2.63-2.70
Cu 0.0000 0.3103 0.5000 (multiplicity 2)  4 F 1.93
Hg 0.0000 0.6722 0.5000 (multiplicity 2)  6 F 2.23-2.42
F 0.1573 0.4583 0.6833 (multiplicity 4)  1 Cu 1.93
F 0.1610 0.1643 0.6841 (multiplicity 4)  1 Cu 1.93
F 0.2053 0.7871 0.7823 (multiplicity 4)  1 Hg 2.23

Output
- crystal system = monoclinic
- raw formation energy (eV/atom) = -2.26
- spin magnetization (μB per atom) = 0.117

***

DFT (GGA-PBE) results for a relaxed structure of U2TlPd9.

Unit cell a=4.1332 b=4.1332 c=12.3175 alpha=90.00 beta=90.00 gamma=90.00
Last column: nearest neighbours and their distance in Å.
Space group P4/mmm (No. 123)
Inequivalent atoms, fractional coordinates:
U 0.0000 0.0000 0.1705 (multiplicity 2)  12 Pd 2.85-2.95
Tl 0.0000 0.0000 0.5000 (multiplicity 1)  12 Pd 2.92-2.94
Pd 0.0000 0.5000 0.0000 (multiplicity 2)  8 Pd 2.91-2.92, 4 U 2.95
Pd 0.0000 0.5000 0.3297 (multiplicity 4)  2 U 2.85, 8 Pd 2.88-2.94, 2 Tl 2.94
Pd 0.5000 0.5000 0.1667 (multiplicity 2)  8 Pd 2.88-2.91, 4 U 2.92
Pd 0.5000 0.5000 0.5000 (multiplicity 1)  4 Tl 2.92, 8 Pd 2.94

Output
- crystal system = tetragonal
- E_form (meV/atom) = -456
- spin magnetization (μB per atom) = 0.292

***

DFT (GGA-PBE) results for a relaxed structure of ScTl3Ga3I8.

Unit cell a=16.2499 b=9.3805 c=9.8911 alpha=90.00 beta=123.11 gamma=90.00
Last column: nearest neighbours and their distance in Å.
Space group C2/m (No. 12)
Inequivalent atoms, fractional coordinates:
Sc 0.0000 0.0000 0.0000 (multiplicity 2)  6 I 3.00
Tl 0.0000 0.0000 0.5000 (multiplicity 2)  6 I 3.52-3.55
Tl 0.2500 0.2500 0.5000 (multiplicity 4)  6 I 3.52-3.55
Ga 0.0000 0.5000 0.0000 (multiplicity 2)  6 I 3.31-3.32
Ga 0.2500 0.2500 0.0000 (multiplicity 4)  6 I 3.31-3.32
I 0.0066 0.2270 0.7930 (multiplicity 8)  1 Sc 3.00, 2 Ga 3.32
I 0.2202 0.0000 0.2070 (multiplicity 4)  1 Sc 3.00, 2 Ga 3.32
I 0.2430 0.5000 0.2291 (multiplicity 4)  3 Ga 3.31, 3 Tl 3.52

Output
- crystal system = monoclinic
- raw formation energy (eV/atom) = -0.60
- spin magnetization (μB per atom) = 0.050

***

DFT (GGA-PBE) results for a relaxed structure of NaCdP2S6.

Unit cell a=12.4323 b=11.1383 c=7.0963 alpha=90.00 beta=112.19 gamma=90.00
Last column: nearest neighbours and their distance in Å.
Space group C2/c (No. 15)
Inequivalent atoms, fractional coordinates:
Na 0.0000 0.1998 0.2500 (multiplicity 4)  6 S 3.00-3.06
Cd 0.0000 0.3643 0.7500 (multiplicity 4)  4 S 2.60-2.75
P 0.2123 0.0879 0.7368 (multiplicity 8)  4 S 2.04-2.28
S 0.1110 0.4242 0.1527 (multiplicity 8)  1 P 2.04
S 0.1380 0.0169 0.9638 (multiplicity 8)  2 P 2.15-2.28
S 0.1668 0.2634 0.6698 (multiplicity 8)  1 P 2.04

Output
- crystal system = monoclinic
- raw formation energy (eV/atom) = -0.36
- spin magnetization (μB per atom) = 0.000

***

DFT (GGA-PBE) results for a relaxed structure of TbCeCo4.

Unit cell a=7.0941 b=7.0941 c=7.0941 alpha=90.00 beta=90.00 gamma=90.00
Last column: nearest neighbours and their distance in Å.
Space group F-43m (No. 216)
Inequivalent atoms, fractional coordinates:
Tb 0.0000 0.0000 0.0000 (multiplicity 4)  12 Co 2.94, 4 Ce 3.07
Ce 0.2500 0.2500 0.7500 (multiplicity 4)  12 Co 2.94, 4 Tb 3.07
Co 0.1251 0.1251 0.3749 (multiplicity 16)  6 Co 2.51

Output
- crystal system = cubic
- E_form (meV/atom) = -188
- spin magnetization (μB per atom) = 0.000

***

DFT (GGA-PBE) results for a relaxed structure of HfCrPd.

Unit cell a=9.4354 b=3.1637 c=6.8318 alpha=90.00 beta=107.71 gamma=90.00
Last column: nearest neighbours and their distance in Å.
Space group C2/m (No. 12)
Inequivalent atoms, fractional coordinates:
Hf 0.0256 0.0000 0.2523 (multiplicity 4)  5 Pd 2.77-2.87, 5 Cr 2.83-3.10
Cr 0.1839 0.5000 0.0460 (multiplicity 4)  2 Cr 2.22
Pd 0.1660 0.5000 0.6098 (multiplicity 4)  5 Hf 2.77-2.87, 3 Cr 2.83-2.93, 3 Pd 2.95-3.03

Output
- crystal system = monoclinic
- energy relative to the lowest polymorph listed for this composition (eV per atom) = 0.0505
- E_form (meV/atom) = -238
- spin magnetization (μB per atom) = 0.000

***

DFT (GGA-PBE) results for a relaxed structure of BaTcOs.

Unit cell a=4.9055 b=4.9098 c=10.1805 alpha=92.77 beta=102.32 gamma=115.92
Last column: nearest neighbours and their distance in Å.
Space group P1 (No. 1)
Inequivalent atoms, fractional coordinates:
Ba 0.0000 0.0000 0.0000 (multiplicity 1)  1 Tc 3.25, 4 Os 3.34-3.50
Ba 0.0908 0.4801 0.5652 (multiplicity 1)  2 Tc 3.25-3.28, 2 Os 3.40-3.45
Tc 0.2578 0.1542 0.3305 (multiplicity 1)  4 Os 2.49-2.74, 2 Tc 2.62-2.63
Tc 0.7154 0.6838 0.3145 (multiplicity 1)  4 Os 2.47-2.66, 2 Tc 2.62-2.63
Os 0.1717 0.6199 0.2429 (multiplicity 1)  4 Tc 2.48-2.66, 2 Os 2.50-2.71
Os 0.6846 0.1425 0.2382 (multiplicity 1)  4 Tc 2.47-2.74, 2 Os 2.50-2.71

Output
- crystal system = triclinic
- energy relative to the lowest polymorph listed for this composition (eV per atom) = 0.1001
- E_form (meV/atom) = 467
- spin magnetization (μB per atom) = 0.000

***

| no. | total DFT energy (no corrections) (eV/atom) |
| --- | --- |
| 1 | -7.052 |
| 2 | -2.864 |
| 3 | -7.142 |
| 4 | -3.605 |
| 5 | -4.211 |
| 6 | -6.429 |
| 7 | -2.924 |
| 8 | -4.138 |
| 9 | -6.686 |
| 10 | -8.495 |
| 11 | -7.373 |